Record 1
Entry from OQMD via LeMat-Bulk: a geometry-optimized TbNbMo structure (PBE).

Unit cell a=4.5937 b=4.5937 c=4.5937 alpha=60.00 beta=60.00 gamma=60.00
Element x y z (fractional)
Mo  0.2500  0.2500  0.2500
Nb  0.0000  0.0000  0.0000
Tb  0.7500  0.7500  0.7500

formation enthalpy at 0 K: 0.8484 eV per atom
space group: F-43m (216)

=====

Record 2
Entry from OQMD via LeMat-Bulk: a geometry-optimized Nb2TcMo structure (PBE).

Unit cell a=4.5356 b=4.5356 c=4.5356 alpha=60.00 beta=60.00 gamma=60.00
Element x y z (fractional)
Mo  0.7500  0.7500  0.7500
Nb  0.2500  0.2500  0.2500
Nb  0.5000  0.5000  0.5000
Tc  0.0000  0.0000  0.0000

formation enthalpy at 0 K: -0.1389 eV per atom
space group: F-43m (216)

=====

Record 3
Entry from OQMD via LeMat-Bulk: a geometry-optimized NbTc3Mo structure (PBE).

Unit cell a=5.9945 b=5.8060 c=5.8060 alpha=59.83 beta=90.00 gamma=90.00
Element x y z (fractional)
Mo  0.0000  0.3339  0.3339
Mo  0.5000  0.3339  0.3339
Nb  0.0000  0.9995  0.9995
Nb  0.5000  0.9995  0.9995
Tc  0.2500  0.9432  0.5257
Tc  0.7500  0.5305  0.5268
Tc  0.7500  0.9429  0.5305
Tc  0.2500  0.5268  0.5305
Tc  0.2500  0.5305  0.9429
Tc  0.7500  0.5257  0.9432

formation enthalpy at 0 K: 0.5814 eV per atom
space group: Ama2 (40)

=====

Record 4
Entry from OQMD via LeMat-Bulk: a geometry-optimized Nb2TcMo structure (PBE).

Unit cell a=5.4018 b=4.6530 c=10.7167 alpha=90.00 beta=90.00 gamma=90.00
Element x y z (fractional)
Mo  0.3366  0.2500  0.0648
Mo  0.8366  0.7500  0.4352
Mo  0.1634  0.2500  0.5648
Mo  0.6634  0.7500  0.9352
Nb  0.0137  0.7500  0.1740
Nb  0.5109  0.7500  0.1786
Nb  0.0109  0.2500  0.3214
Nb  0.5137  0.2500  0.3260
Nb  0.4863  0.7500  0.6740
Nb  0.9891  0.7500  0.6786
Nb  0.4891  0.2500  0.8214
Nb  0.9863  0.2500  0.8260
Tc  0.8334  0.2500  0.0648
Tc  0.3334  0.7500  0.4352
Tc  0.6666  0.2500  0.5648
Tc  0.1666  0.7500  0.9352

formation enthalpy at 0 K: 0.1040 eV per atom
space group: Pnma (62)

=====

Record 5
Entry from OQMD via LeMat-Bulk: a geometry-optimized Nb2TcMo structure (PBE).

Unit cell a=4.5416 b=4.5416 c=3.2101 alpha=90.00 beta=90.00 gamma=90.00
Element x y z (fractional)
Mo  0.0000  0.0000  0.0000
Nb  0.5000  0.0000  0.5000
Nb  0.0000  0.5000  0.5000
Tc  0.5000  0.5000  0.0000

formation enthalpy at 0 K: -0.2341 eV per atom
space group: P4/mmm (123)

=====

Record 6
Entry from OQMD via LeMat-Bulk: a geometry-optimized Nb2TcMo structure (PBE).

Unit cell a=6.4228 b=6.4243 c=6.4199 alpha=90.00 beta=90.00 gamma=90.00
Element x y z (fractional)
Mo  0.2501  0.2500  0.0001
Mo  0.7501  0.7500  0.4999
Mo  0.2499  0.2500  0.5001
Mo  0.7499  0.7500  0.9999
Nb  0.4994  0.0000  0.2500
Nb  0.4994  0.5001  0.2500
Nb  0.9994  0.0000  0.2500
Nb  0.9994  0.4999  0.2500
Nb  0.0006  0.0000  0.7500
Nb  0.0006  0.5001  0.7500
Nb  0.5006  0.0000  0.7500
Nb  0.5006  0.4999  0.7500
Tc  0.7503  0.2500  0.0004
Tc  0.2503  0.7500  0.4996
Tc  0.7497  0.2500  0.5004
Tc  0.2497  0.7500  0.9996

formation enthalpy at 0 K: -0.2340 eV per atom
space group: P4/mmm (123)

=====

| no. | volume (Å³/cell) |
| --- | --- |
| 1 | 69 |
| 2 | 66 |
| 3 | 175 |
| 4 | 269 |
| 5 | 66 |
| 6 | 265 |